Record 1
First-principles (PBE) data for a relaxed structure of Cr3Cd, as listed in Alexandria via LeMat-Bulk.

Its energy of formation is 1.28 eV per formula unit. The calculated volume comes out at 60.0 Å³/f.u.

It has space group P4/mmm (No. 123), with a = 2.995 Å, b = 2.995 Å, c = 6.692 Å, α = 90.00°, β = 90.00° and γ = 90.00°. The asymmetric unit holds Cr at (0.000, 0.000, 0.000), Cr at (0.500, 0.500, 0.207) and Cd at (0.000, 0.000, 0.500).


Record 2
First-principles (PBE) data for a relaxed structure of CrCd2, as listed in Alexandria via LeMat-Bulk.

Its energy of formation is 0.99 eV per formula unit. The calculated volume comes out at 59.2 Å³/f.u.

It has space group Immm (No. 71), with a = 3.145 Å, b = 4.116 Å, c = 9.145 Å, α = 90.00°, β = 90.00° and γ = 90.00°. The asymmetric unit holds Cr at (0.000, 0.000, 0.000) and Cd at (0.000, 0.000, 0.337).


Record 3
First-principles (PBE) data for a relaxed structure of CrCd2, as listed in Alexandria via LeMat-Bulk.

Its energy of formation is 0.99 eV per formula unit. The calculated volume comes out at 58.9 Å³/f.u.

It has space group Pnma (No. 62), with a = 5.999 Å, b = 4.401 Å, c = 8.927 Å, α = 90.00°, β = 90.00° and γ = 90.00°. The asymmetric unit holds Cr at (0.137, 0.250, 0.092), Cd at (0.107, 0.250, 0.759) and Cd at (0.146, 0.250, 0.424).


Record 4
First-principles (PBE) data for a relaxed structure of Cr4Cd, as listed in Alexandria via LeMat-Bulk.

Its energy of formation is 3.30 eV per formula unit. The calculated volume comes out at 73.4 Å³/f.u.

It has space group I4/mmm (No. 139), with a = 3.829 Å, b = 3.829 Å, c = 10.005 Å, α = 90.00°, β = 90.00° and γ = 90.00°. The asymmetric unit holds Cr at (0.000, 0.000, 0.121), Cr at (0.000, 0.500, 0.250) and Cd at (0.000, 0.000, 0.500).